TaFeGe2: optimized geometry, PBE.

Structure (POSCAR):
```
TaFeGe2
1.0
1.985 1.146 4.381
-1.985 1.146 4.381
0.000 -2.292 4.381
Ta Fe Ge
1 1 2
Cartesian
0.000 0.000 0.000
0.000 0.000 6.572
0.000 0.000 3.000
0.000 0.000 10.144
```

* ΔH_f (0 K): 8 kJ/mol of atoms
* symmetry: No. 166

***

TaFeGe: optimized geometry, PBE.

Structure (POSCAR):
```
TaFeGe
1.0
6.263 0.000 0.000
0.000 3.852 0.000
0.000 0.000 7.080
Ta Fe Ge
4 4 4
Cartesian
0.089 0.963 1.397
3.043 2.889 4.936
3.220 0.963 2.143
6.174 2.889 5.683
0.901 0.963 4.009
2.231 2.889 0.469
4.032 0.963 6.610
5.363 2.889 3.071
1.450 2.889 2.751
1.682 0.963 6.291
4.581 2.889 0.789
4.814 0.963 4.329
```

* ΔH_f (0 K): -31 kJ/mol of atoms
* symmetry: No. 62

***

Ta2VFe5Ge2: optimized geometry, PBE.

Structure (POSCAR):
```
Ta2VFe5Ge2
1.0
9.090 0.000 0.000
0.000 9.090 0.000
0.000 0.000 3.240
Ta V Fe Ge
4 2 10 4
Cartesian
1.570 2.976 0.000
2.976 7.521 0.000
6.115 1.570 0.000
7.521 6.115 0.000
0.000 0.000 0.000
4.545 4.545 0.000
0.000 4.545 1.620
0.430 7.287 1.620
1.803 0.430 1.620
2.742 4.975 1.620
4.115 2.742 1.620
4.545 0.000 1.620
4.975 6.348 1.620
6.348 4.115 1.620
7.287 8.661 1.620
8.661 1.803 1.620
1.173 5.718 0.000
3.372 1.173 0.000
5.718 7.917 0.000
7.917 3.372 0.000
```

* ΔH_f (0 K): -6 kJ/mol of atoms
* symmetry: No. 127

***

Ta2FeGeW: optimized geometry, PBE.

Structure (POSCAR):
```
Ta2FeGeW
1.0
4.841 0.000 0.000
0.000 4.841 0.000
0.000 0.000 4.412
Ta Fe Ge W
2 1 1 1
Cartesian
0.000 2.420 0.000
2.420 0.000 0.000
0.000 0.000 2.206
2.420 2.420 2.206
0.000 0.000 0.000
```

* ΔH_f (0 K): 155 kJ/mol of atoms
* symmetry: No. 123

***

TbFe2Ge7: optimized geometry, PBE.

Structure (POSCAR):
```
TbFe2Ge7
1.0
3.976 -6.300 0.000
3.976 6.300 0.000
0.000 0.000 3.979
Tb Fe Ge
1 2 7
Cartesian
0.000 0.000 0.000
3.976 2.239 1.989
3.976 -2.239 1.989
1.612 1.827 1.989
3.976 3.348 0.000
1.612 -1.827 1.989
3.976 0.000 1.989
6.339 1.827 1.989
3.976 -3.348 0.000
6.339 -1.827 1.989
```

* ΔH_f (0 K): 5 kJ/mol of atoms
* symmetry: No. 65

***

Tb4FeGe8: optimized geometry, PBE.

Structure (POSCAR):
```
Tb4FeGe8
1.0
4.024 0.000 0.000
0.000 4.160 0.000
0.000 0.000 15.985
Tb Fe Ge
4 1 8
Cartesian
0.000 0.000 0.000
0.000 2.080 7.916
2.012 0.000 3.267
2.012 2.080 11.256
0.000 0.000 12.659
0.000 0.000 5.627
0.000 0.000 10.325
0.000 2.080 2.489
0.000 2.080 13.752
2.012 0.000 8.655
2.012 0.000 13.786
2.012 2.080 0.776
2.012 2.080 5.555
```

* ΔH_f (0 K): -58 kJ/mol of atoms
* symmetry: No. 25

***

TbFeGe2: optimized geometry, PBE.

Structure (POSCAR):
```
TbFeGe2
1.0
6.869 0.000 0.000
0.000 4.161 0.000
0.000 0.000 10.017
Tb Fe Ge
4 4 8
Cartesian
1.200 1.040 1.272
2.234 3.120 6.281
4.635 1.040 3.737
5.668 3.120 8.745
0.131 3.120 3.898
3.303 1.040 8.907
3.566 3.120 1.110
6.737 1.040 6.119
0.919 1.040 8.191
1.238 1.040 4.272
2.196 3.120 9.281
2.516 3.120 3.182
4.353 1.040 6.835
4.672 1.040 0.737
5.631 3.120 5.745
5.950 3.120 1.827
```

* ΔH_f (0 K): -51 kJ/mol of atoms
* symmetry: No. 62

***

TbFe3Ge2: optimized geometry, PBE.

Structure (POSCAR):
```
TbFe3Ge2
1.0
6.773 -2.022 0.000
6.773 2.022 0.000
-3.286 0.000 6.951
Tb Fe Ge
2 6 4
Cartesian
1.857 0.000 0.456
8.405 0.000 6.495
-0.709 0.000 2.590
2.475 0.000 3.660
4.562 0.000 2.426
5.700 0.000 4.525
7.786 0.000 3.291
10.971 0.000 4.361
0.236 0.000 4.854
3.707 0.000 5.743
6.554 0.000 1.209
10.025 0.000 2.097
```

* ΔH_f (0 K): -35 kJ/mol of atoms
* symmetry: No. 12

***

TbFe6Ge6: optimized geometry, PBE.

Structure (POSCAR):
```
TbFe6Ge6
1.0
-2.561 4.081 4.425
2.561 -4.081 4.425
2.561 4.081 -4.425
Tb Fe Ge
1 6 6
Cartesian
0.000 0.000 0.000
1.280 2.041 -2.213
1.280 -2.041 2.213
2.561 2.053 0.000
-1.280 2.041 2.213
1.280 2.041 2.213
0.000 2.029 4.425
2.561 0.000 1.504
0.000 0.000 2.985
0.000 2.834 0.000
0.000 5.328 0.000
0.000 0.000 5.866
0.000 4.081 2.922
```

* ΔH_f (0 K): -27 kJ/mol of atoms
* offset from the most stable computed form: 0 meV per atom
* symmetry: No. 71

***

TbFeGe2: optimized geometry, PBE.

Structure (POSCAR):
```
TbFeGe2
1.0
2.033 1.174 5.025
-2.033 1.174 5.025
0.000 -2.347 5.025
Tb Fe Ge
1 1 2
Cartesian
0.000 0.000 0.000
0.000 0.000 7.537
0.000 0.000 3.275
0.000 0.000 11.799
```

* ΔH_f (0 K): -46 kJ/mol of atoms
* symmetry: No. 166

***

TbFe2Ge2: optimized geometry, PBE.

Structure (POSCAR):
```
TbFe2Ge2
1.0
-1.987 1.987 5.115
1.987 -1.987 5.115
1.987 1.987 -5.115
Tb Fe Ge
1 2 2
Cartesian
0.000 0.000 0.000
1.987 0.000 2.558
0.000 1.987 2.558
0.000 0.000 3.811
0.000 0.000 6.420
```

* ΔH_f (0 K): -44 kJ/mol of atoms
* symmetry: No. 139

***

Tb2FeGe3: optimized geometry, PBE.

Structure (POSCAR):
```
Tb2FeGe3
1.0
5.250 -2.121 0.000
5.250 2.121 0.000
-4.624 0.000 5.309
Tb Fe Ge
2 1 3
Cartesian
0.000 0.000 0.000
-1.578 0.000 3.115
7.456 0.000 0.237
2.997 0.000 0.848
1.625 0.000 3.538
5.918 0.000 2.160
```

* ΔH_f (0 K): -53 kJ/mol of atoms
* symmetry: No. 8

***

TbFe3Ge3: optimized geometry, PBE.

Structure (POSCAR):
```
TbFe3Ge3
1.0
6.463 0.000 0.000
0.000 6.463 0.000
0.000 0.000 6.463
Tb Fe Ge
2 6 6
Cartesian
0.000 0.000 0.000
3.232 3.232 3.232
0.000 1.616 3.232
0.000 4.847 3.232
1.616 3.232 0.000
3.232 0.000 1.616
3.232 0.000 4.847
4.847 3.232 0.000
0.000 3.232 1.616
0.000 3.232 4.847
1.616 0.000 3.232
3.232 1.616 0.000
3.232 4.847 0.000
4.847 0.000 3.232
```

* ΔH_f (0 K): 22 kJ/mol of atoms
* offset from the most stable computed form: 488 meV per atom
* symmetry: No. 223

***

TbFe12Ge6: optimized geometry, PBE.

Structure (POSCAR):
```
TbFe12Ge6
1.0
5.320 3.072 2.788
-5.320 3.072 2.788
0.000 -6.143 2.788
Tb Fe Ge
1 12 6
Cartesian
0.000 0.000 0.000
-2.057 -3.562 4.182
-4.113 0.000 4.182
-1.479 -0.854 2.706
1.479 -0.854 2.706
0.000 1.708 2.706
2.057 -3.562 4.182
-2.057 3.562 4.182
0.000 -1.708 5.659
-1.479 0.854 5.659
1.479 0.854 5.659
4.113 0.000 4.182
2.057 3.562 4.182
0.000 -2.790 3.416
-2.416 1.395 3.416
-2.416 -1.395 4.949
2.416 1.395 3.416
2.416 -1.395 4.949
0.000 2.790 4.949
```

* ΔH_f (0 K): 1 kJ/mol of atoms
* symmetry: No. 166

***

TbFe4Ge2: optimized geometry, PBE.

Structure (POSCAR):
```
TbFe4Ge2
1.0
2.044 -6.437 0.000
2.044 6.437 0.000
0.000 0.000 4.042
Tb Fe Ge
1 4 2
Cartesian
0.000 0.000 0.000
2.044 3.895 2.021
2.044 2.582 0.000
2.044 -2.582 0.000
2.044 -3.895 2.021
2.044 1.271 2.021
2.044 -1.271 2.021
```

* ΔH_f (0 K): -25 kJ/mol of atoms
* symmetry: No. 65

***

TbFe6Ge12: optimized geometry, PBE.

Structure (POSCAR):
```
TbFe6Ge12
1.0
-4.277 4.277 4.277
4.277 -4.277 4.277
4.277 4.277 -4.277
Tb Fe Ge
1 6 12
Cartesian
0.000 0.000 0.000
4.277 0.000 1.225
4.277 3.051 0.000
1.225 4.277 0.000
3.051 0.000 4.277
0.000 1.225 4.277
0.000 4.277 3.051
4.277 -1.780 2.756
2.497 1.521 0.000
6.056 1.521 0.000
2.756 4.277 -1.780
1.521 0.000 2.497
0.000 2.497 1.521
4.277 1.780 2.756
2.756 4.277 1.780
1.521 0.000 6.056
-1.780 2.756 4.277
1.780 2.756 4.277
0.000 6.056 1.521
```

* ΔH_f (0 K): 16 kJ/mol of atoms
* symmetry: No. 204

***

Tb3Fe2Ge4: optimized geometry, PBE.

Structure (POSCAR):
```
Tb3Fe2Ge4
1.0
5.316 -2.111 0.000
5.316 2.111 0.000
-2.501 0.000 7.638
Tb Fe Ge
3 2 4
Cartesian
0.000 0.000 0.000
3.258 0.000 2.341
4.873 0.000 5.298
1.746 0.000 4.849
6.385 0.000 2.789
0.084 0.000 3.076
0.777 0.000 6.998
7.354 0.000 0.641
8.046 0.000 4.562
```

* ΔH_f (0 K): -61 kJ/mol of atoms
* symmetry: No. 12

***

TbFe4Ge: optimized geometry, PBE.

Structure (POSCAR):
```
TbFe4Ge
1.0
0.000 3.503 3.503
3.503 0.000 3.503
3.503 3.503 0.000
Tb Fe Ge
1 4 1
Cartesian
0.000 0.000 0.000
4.371 2.635 2.635
2.635 4.371 2.635
2.635 2.635 4.371
4.371 4.371 4.371
1.752 1.752 1.752
```

* ΔH_f (0 K): -3 kJ/mol of atoms
* symmetry: No. 216

***

TbFe3Ge3: optimized geometry, PBE.

Structure (POSCAR):
```
TbFe3Ge3
1.0
8.175 0.000 0.000
-4.087 7.080 0.000
0.000 0.000 4.051
Tb Fe Ge
2 6 6
Cartesian
0.000 4.720 1.013
4.087 2.360 3.038
-0.358 1.410 1.013
-2.687 6.685 1.013
1.042 1.015 3.038
3.045 6.065 1.013
6.775 0.395 3.038
4.445 5.670 3.038
-0.792 2.710 3.038
-1.344 6.411 3.038
1.951 2.041 1.013
2.136 5.038 3.038
5.432 0.669 1.013
4.880 4.369 1.013
```

* ΔH_f (0 K): -25 kJ/mol of atoms
* offset from the most stable computed form: 0 meV per atom
* symmetry: No. 176

***

TbFe6Ge6: optimized geometry, PBE.

Structure (POSCAR):
```
TbFe6Ge6
1.0
4.076 -8.849 0.000
4.076 8.849 0.000
0.000 0.000 5.122
Tb Fe Ge
2 12 12
Cartesian
4.076 6.598 3.841
4.076 -6.598 1.280
2.038 4.425 0.000
2.038 4.425 2.561
2.038 2.212 3.841
2.034 0.000 0.000
2.034 0.000 2.561
2.038 -2.212 1.280
2.038 -4.425 0.000
2.038 -4.425 2.561
6.113 2.212 3.841
6.118 0.000 0.000
6.118 0.000 2.561
6.113 -2.212 1.280
4.076 8.103 1.280
4.076 5.108 1.280
2.827 2.200 1.280
4.076 3.615 3.841
4.076 0.721 3.841
2.827 -2.200 3.841
5.324 2.200 1.280
4.076 -0.721 1.280
4.076 -3.615 1.280
5.324 -2.200 3.841
4.076 -5.108 3.841
4.076 -8.103 3.841
```

* ΔH_f (0 K): -27 kJ/mol of atoms
* offset from the most stable computed form: 3 meV per atom
* symmetry: No. 63

***

| no. | N(E_F) (states/eV/f.u.) |
| --- | --- |
| 1 | 3.23 |
| 2 | 2.40 |
| 3 | 10.93 |
| 4 | 5.86 |
| 5 | 6.40 |
| 6 | 7.56 |
| 7 | 2.65 |
| 8 | 3.69 |
| 9 | 8.33 |
| 10 | 3.12 |
| 11 | 5.19 |
| 12 | 4.68 |
| 13 | 6.56 |
| 14 | 17.08 |
| 15 | 7.31 |
| 16 | 17.15 |
| 17 | 6.64 |
| 18 | 5.35 |
| 19 | 4.66 |
| 20 | 9.95 |